Compound: YAl3Bi
Source: Alexandria
Functional: PBE
Structure: optimized geometry

Its energy of formation from the pure elements is 829.1 meV/atom. Its final energy is -17.427 eV for the cell shown. Its offset from the most stable computed form is 0 meV per atom.

```
5
Lattice="-3.030 3.565 2.663 -4.300 -1.516 -2.864 -1.147 -3.739 3.700" Properties=species:S:1:pos:R:3 pbc="T T T"
Y -4.238 -0.845 1.750
Bi 0.000 0.000 0.000
Al -0.573 -1.870 1.850
Al -1.515 1.783 1.332
Al -2.150 -0.758 -1.432
```

Compound: Y2Al2Bi
Source: Alexandria
Functional: PBE
Structure: optimized geometry

Its energy of formation from the pure elements is -461.0 meV/atom. Its final energy is -53.198 eV for the cell shown.

```
10
Lattice="-7.544 -0.870 0.370 -0.325 -0.414 -7.585 0.512 -4.349 0.216" Properties=species:S:1:pos:R:3 pbc="T T T"
Y -5.080 -3.102 -5.927
Y -1.257 -2.602 -4.923
Y -2.277 -2.531 -1.072
Y -6.100 -3.032 -2.076
Al -6.839 -1.023 -4.378
Al -3.151 -0.695 -6.533
Al -4.718 -0.590 -0.682
Al -1.030 -0.262 -2.837
Bi -3.935 -0.642 -3.607
Bi 0.000 0.000 0.000
```

Compound: YAl2Bi
Source: Alexandria
Functional: PBE
Structure: optimized geometry

Its energy of formation from the pure elements is -261.8 meV/atom. Its final energy is -18.877 eV for the cell shown.

```
4
Lattice="-0.392 4.069 1.656 -4.024 0.514 -2.214 -2.236 -1.708 3.666" Properties=species:S:1:pos:R:3 pbc="T T T"
Bi -3.326 1.437 1.554
Al -2.012 0.257 -1.107
Al -1.118 -0.854 1.833
Y -0.196 2.034 0.828
```

Compound: Y3AlBi
Source: Alexandria
Functional: PBE
Structure: optimized geometry

Its energy of formation from the pure elements is -115.6 meV/atom. Its final energy is -27.594 eV for the cell shown. Its offset from the most stable computed form is 0 meV per atom.

```
5
Lattice="-0.885 4.321 -3.224 -4.490 -2.399 -1.984 -2.985 2.328 3.940" Properties=species:S:1:pos:R:3 pbc="T T T"
Y -1.492 1.164 1.970
Y -2.245 -1.200 -0.992
Y -0.442 2.161 -1.612
Al 0.000 0.000 0.000
Bi -4.180 2.125 -0.634
```

Compound: Y2AlBi2
Source: Alexandria
Functional: PBE
Structure: optimized geometry

Its energy of formation from the pure elements is -399.5 meV/atom. Its final energy is -52.861 eV for the cell shown. Its offset from the most stable computed form is 28 meV per atom.

```
10
Lattice="8.252 0.000 0.000 0.000 8.252 0.000 0.000 0.000 4.273" Properties=species:S:1:pos:R:3 pbc="T T T"
Y 1.250 2.876 0.000
Y 5.376 1.250 0.000
Y 2.876 7.001 0.000
Y 7.001 5.376 0.000
Bi 5.438 6.940 2.137
Bi 2.814 1.312 2.137
Bi 1.312 5.438 2.137
Bi 6.940 2.814 2.137
Al 0.000 0.000 0.000
Al 4.126 4.126 0.000
```

Compound: Y5AlBi2
Source: Alexandria
Functional: PBE
Structure: optimized geometry

Its energy of formation from the pure elements is -557.1 meV/atom. Its final energy is -96.563 eV for the cell shown.

```
16
Lattice="-0.468 -2.790 3.750 -0.811 -6.468 -4.913 12.086 -1.700 0.243" Properties=species:S:1:pos:R:3 pbc="T T T"
Y 6.316 -4.344 0.498
Y 8.093 -5.455 -3.048
Y 9.378 -2.345 -0.574
Y 3.182 -2.713 -1.622
Y -0.406 -3.234 -2.456
Y 1.897 -5.824 -4.096
Y 4.492 -6.614 -1.418
Y 6.043 -0.850 0.121
Y 0.367 -2.742 0.947
Y 10.440 -8.216 -1.868
Al 5.637 -4.084 -2.335
Al 0.000 0.000 0.000
Bi 3.645 -2.409 1.604
Bi 9.398 -5.572 -0.031
Bi 7.162 -8.549 -2.524
Bi 1.409 -5.386 -0.889
```

Compound: Y2AlBi2
Source: Alexandria
Functional: PBE
Structure: optimized geometry

Its energy of formation from the pure elements is -103.4 meV/atom. Its final energy is -24.950 eV for the cell shown. Its offset from the most stable computed form is 324 meV per atom.

```
5
Lattice="-1.065 2.695 3.236 -1.978 -3.266 2.069 5.574 -2.130 6.523" Properties=species:S:1:pos:R:3 pbc="T T T"
Al 0.000 0.000 0.000
Bi 1.494 0.139 6.206
Bi 1.037 -2.841 5.623
Y 2.618 -2.043 8.393
Y -0.087 -0.659 3.435
```

Compound: YAlBi2
Source: Alexandria
Functional: PBE
Structure: optimized geometry

Its energy of formation from the pure elements is -265.2 meV/atom. Its final energy is -19.029 eV for the cell shown.

```
4
Lattice="4.361 0.000 0.000 0.000 4.989 0.000 0.000 0.000 4.989" Properties=species:S:1:pos:R:3 pbc="T T T"
Bi 0.000 2.494 0.000
Bi 0.000 0.000 2.494
Y 2.181 2.494 2.494
Al 2.181 0.000 0.000
```

- Among the records above, which one has the lowest energy of formation from the pure elements?
  Y5AlBi2

- Which of these has the highest final energy?
  YAl3Bi